# Ba2Mn3Sb2O2, relaxed, DFT PBE+U
data_Ba2Mn3Sb2O2
_chemical_formula_sum 'Ba4 Mn6 Sb4 O4'
_space_group_name_H-M_alt 'I 4/m m m'
_space_group_IT_number 139
_space_group_name_Hall '-I 4 2'
_cell_length_a 4.453
_cell_length_b 4.453
_cell_length_c 21.371
_cell_angle_alpha 90.00
_cell_angle_beta 90.00
_cell_angle_gamma 90.00
loop_
_atom_site_label
_atom_site_type_symbol
_atom_site_fract_x
_atom_site_fract_y
_atom_site_fract_z
Ba1 Ba 0.000 0.000 0.081
Mn1 Mn 0.000 0.000 0.500
Mn2 Mn 0.000 0.500 0.250
Sb1 Sb 0.000 0.000 0.333
O1 O 0.000 0.500 0.000
# final energy = -6.074 eV/atom